{
  "formula": "Er2Ni4SnGe3",
  "functional": "PBE-GGA",
  "state": "optimized geometry",
  "formation_energy_kj_per_mol_fu": -592,
  "total_magnetization_mub_per_cell": 0.00,
  "lattice": [[4.112, 0.000, 0.000], [0.000, 4.112, 0.000], [0.000, 0.000, 9.915]],
  "species": ["Er", "Er", "Ni", "Ni", "Ni", "Ni", "Sn", "Ge", "Ge", "Ge"],
  "fractional_positions": [[0.500, 0.000, 0.233], [0.000, 0.500, 0.767], [0.500, 0.500, 0.000], [0.000, 0.000, 0.000], [0.500, 0.000, 0.643], [0.000, 0.500, 0.357], [0.500, 0.500, 0.500], [0.000, 0.000, 0.500], [0.500, 0.000, 0.876], [0.000, 0.500, 0.124]]
}